Entry 1:
A relaxed NiSn4Rh7 crystal, computed with PBE-GGA.

Unit cell a=4.5550 b=7.8686 c=6.7105 alpha=79.99 beta=70.16 gamma=73.18
Last column: nearest neighbours and their distance in Å.
Fractional coordinates of all 12 atoms:
Ni (0.0000, 0.0000, 0.0000)  4 Rh 2.28-2.47
Sn (0.5809, 0.2142, 0.6240)  8 Rh 2.64-2.78
Sn (0.4191, 0.7858, 0.3760)  8 Rh 2.64-2.78
Sn (0.7206, 0.6597, 0.8990)  8 Rh 2.58-2.83
Sn (0.2794, 0.3403, 0.1010)  8 Rh 2.58-2.83
Rh (0.7873, 0.8703, 0.5550)  4 Sn 2.58-2.66
Rh (0.2127, 0.1297, 0.4450)  4 Sn 2.58-2.66
Rh (0.0754, 0.6890, 0.1602)  1 Ni 2.47, 1 Sn 2.68
Rh (0.9246, 0.3110, 0.8398)  1 Ni 2.47, 1 Sn 2.68
Rh (0.3616, 0.5575, 0.7193)  5 Sn 2.65-2.80
Rh (0.5000, 0.0000, 0.0000)  2 Ni 2.28
Rh (0.6384, 0.4425, 0.2807)  5 Sn 2.65-2.80

Values from the calculation:
Formation energy from the elements   -1.00 eV per formula unit
Fermi-level density of states   9.57 states/eV/cell
Density   9649 kg/m3
Spin magnetization   1.526 μB per formula unit
DFT total energy   -74.256 eV per cell

Entry 2:
A relaxed NiSn2Rh crystal, computed with PBE-GGA.

Unit cell a=3.2060 b=3.2060 c=9.1755 alpha=79.94 beta=79.94 gamma=60.00
Last column: nearest neighbours and their distance in Å.
Fractional coordinates of all 4 atoms:
Ni (0.0000, 0.0000, 0.0000)  2 Sn 2.48
Rh (0.5000, 0.5000, 0.5000)  6 Sn 2.74
Sn (0.0920, 0.0920, 0.7241)  1 Ni 2.48, 3 Rh 2.74
Sn (0.9080, 0.9080, 0.2759)  1 Ni 2.48, 3 Rh 2.74

Values from the calculation:
Formation energy from the elements   0.52 eV per formula unit
Fermi-level density of states   3.83 states/eV/cell
Density   8283 kg/m3
Spin magnetization   0.325 μB per formula unit
DFT total energy   -20.617 eV per cell

Entry 3:
A relaxed NiSnRh3 crystal, computed with PBE-GGA.

Unit cell a=4.8245 b=4.8245 c=4.8245 alpha=90.00 beta=90.00 gamma=90.00
Last column: nearest neighbours and their distance in Å.
Fractional coordinates of all 5 atoms:
Ni (0.5000, 0.5000, 0.5000)  12 Rh 3.41
Rh (0.0000, 0.5000, 0.0000)  2 Sn 2.41
Rh (0.0000, 0.0000, 0.5000)  2 Sn 2.41
Rh (0.5000, 0.0000, 0.0000)  2 Sn 2.41
Sn (0.0000, 0.0000, 0.0000)  6 Rh 2.41

Values from the calculation:
ΔE to the lowest computed polymorph   1559 meV/atom
Formation energy from the elements   7.26 eV per formula unit
Fermi-level density of states   8.97 states/eV/cell
Density   7189 kg/m3
Spin magnetization   2.780 μB per formula unit
DFT total energy   -24.580 eV per cell

Entry 4:
A relaxed NiSnRh crystal, computed with PBE-GGA.

Unit cell a=3.2391 b=3.2391 c=9.7051 alpha=99.61 beta=99.61 gamma=90.00
Last column: nearest neighbours and their distance in Å.
Fractional coordinates of all 6 atoms:
Ni (0.2809, 0.2809, 0.5618)  4 Ni 2.57, 5 Sn 2.64-2.72, 1 Rh 2.84
Ni (0.7191, 0.7191, 0.4382)  4 Ni 2.57, 5 Sn 2.64-2.72, 1 Rh 2.84
Sn (0.1412, 0.1412, 0.2824)  5 Ni 2.64-2.72, 4 Rh 2.67
Sn (0.8588, 0.8588, 0.7176)  5 Ni 2.64-2.72, 4 Rh 2.67
Rh (0.5685, 0.5685, 0.1371)  1 Rh 2.59, 4 Sn 2.67, 1 Ni 2.84
Rh (0.4315, 0.4315, 0.8629)  1 Rh 2.59, 4 Sn 2.67, 1 Ni 2.84

Values from the calculation:
Formation energy from the elements   -0.06 eV per formula unit
Fermi-level density of states   4.03 states/eV/cell
Density   9408 kg/m3
Spin magnetization   0.000 μB per formula unit
DFT total energy   -34.390 eV per cell